No. 1
{"formula": "BeAlIr2", "functional": "PBE-GGA", "state": "relaxed", "rho_g_cm3": 13.07, "delta_e_f_mev_per_atom": -346, "volume_a3_per_atom": 13.4, "lattice": [[2.876, 0.000, 0.000], [0.000, 3.954, 0.000], [0.000, 0.000, 4.698]], "species": ["Be", "Al", "Ir", "Ir"], "frac_coords": [[0.000, 0.000, 0.000], [0.500, 0.000, 0.500], [0.000, 0.500, 0.500], [0.500, 0.500, 0.000]]}

---

No. 2
{"formula": "BeAlIr2", "functional": "PBE-GGA", "state": "relaxed", "rho_g_cm3": 13.96, "delta_e_f_mev_per_atom": -761, "volume_a3_per_atom": 12.5, "lattice": [[0.000, 2.924, 2.924], [2.924, 0.000, 2.924], [2.924, 2.924, 0.000]], "species": ["Be", "Al", "Ir", "Ir"], "frac_coords": [[0.000, 0.000, 0.000], [0.500, 0.500, 0.500], [0.250, 0.250, 0.250], [0.750, 0.750, 0.750]]}

---

No. 3
{"formula": "BeAlIr2", "functional": "PBE-GGA", "state": "relaxed", "rho_g_cm3": 12.69, "delta_e_f_mev_per_atom": -10, "volume_a3_per_atom": 13.8, "lattice": [[1.387, -2.357, 0.000], [1.387, 2.357, 0.000], [0.000, 0.000, 8.418]], "species": ["Be", "Al", "Ir", "Ir"], "frac_coords": [[0.000, 0.000, 0.000], [0.500, 0.500, 0.253], [0.000, 0.000, 0.498], [0.500, 0.500, 0.789]]}

---

No. 4
{"formula": "BeAlIr2", "functional": "PBE-GGA", "state": "relaxed", "rho_g_cm3": 13.35, "delta_e_f_mev_per_atom": -454, "volume_a3_per_atom": 13.1, "lattice": [[1.437, 0.830, 7.311], [-1.437, 0.830, 7.311], [0.000, -1.659, 7.311]], "species": ["Be", "Al", "Ir", "Ir"], "frac_coords": [[0.000, 0.000, 0.000], [0.500, 0.500, 0.500], [0.257, 0.257, 0.257], [0.743, 0.743, 0.743]]}

---

No. 5
{"formula": "Be2AlIr3", "functional": "PBE-GGA", "state": "relaxed", "rho_g_cm3": 14.37, "delta_e_f_mev_per_atom": -691, "volume_a3_per_atom": 12.0, "lattice": [[2.882, 0.000, 0.000], [0.000, 2.882, 0.000], [0.000, 0.000, 8.648]], "species": ["Be", "Be", "Al", "Ir", "Ir", "Ir"], "frac_coords": [[0.000, 0.000, 0.158], [0.000, 0.000, 0.842], [0.000, 0.000, 0.500], [0.500, 0.500, 0.000], [0.500, 0.500, 0.319], [0.500, 0.500, 0.681]]}

---

No. 6
{"formula": "Be2AlIr", "functional": "PBE-GGA", "state": "relaxed", "rho_g_cm3": 8.56, "delta_e_f_mev_per_atom": -374, "volume_a3_per_atom": 11.5, "lattice": [[2.943, 0.000, 0.000], [0.000, 2.943, 0.000], [0.000, 0.000, 5.314]], "species": ["Be", "Be", "Al", "Ir"], "frac_coords": [[0.000, 0.000, 0.000], [0.500, 0.500, 0.208], [0.500, 0.500, 0.727], [0.000, 0.000, 0.439]]}

---

No. 7
{"formula": "BeAlIr", "functional": "PBE-GGA", "state": "relaxed", "rho_g_cm3": 10.37, "delta_e_f_mev_per_atom": -646, "volume_a3_per_atom": 12.2, "lattice": [[-1.491, 1.491, 4.111], [1.491, -1.491, 4.111], [1.491, 1.491, -4.111]], "species": ["Be", "Al", "Ir"], "frac_coords": [[0.000, 0.000, 0.000], [0.326, 0.326, 0.000], [0.642, 0.642, 0.000]]}

---

No. 8
{"formula": "Be2AlIr", "functional": "PBE-GGA", "state": "relaxed", "rho_g_cm3": 8.75, "delta_e_f_mev_per_atom": -379, "volume_a3_per_atom": 11.3, "lattice": [[3.825, 0.000, 0.000], [0.000, 3.825, 0.000], [0.000, 0.000, 3.077]], "species": ["Be", "Be", "Al", "Ir"], "frac_coords": [[0.000, 0.500, 0.000], [0.500, 0.000, 0.000], [0.000, 0.000, 0.500], [0.500, 0.500, 0.500]]}